Here is a relaxed K2TeAs crystal from the Alexandria database. Energies are from PBE.

**Excess energy over the best structure of this formula in the dataset**: 31.43 kJ per mole of atoms
**ΔE_f (raw)**: -0.22 eV/atom
**Density of states at the Fermi level**: 4.0 states/eV per cell

Cell lengths 5.7166, 5.7166, 5.7166 Å; angles 60.00, 60.00, 60.00 degrees
With the nearest neighbours (Å) after each atom.
Fractional positions:
1 Te 0.5000 0.5000 0.5000  8 K 3.50
2 As 0.0000 0.0000 0.0000  8 K 3.50
3 K 0.7500 0.7500 0.7500  4 Te 3.50, 4 As 3.50
4 K 0.2500 0.2500 0.2500  4 Te 3.50, 4 As 3.50

Here is a relaxed NaTiZn2W crystal from the Alexandria database. Energies are from PBE.

**Calculated formation energy**: 1657 meV per atom
**Density of states at the Fermi level**: 5.2 states/eV per cell

Cell lengths 4.8523, 5.1024, 4.8523 Å; angles 90.00, 90.00, 90.00 degrees
With the nearest neighbours (Å) after each atom.
Fractional positions:
1 Zn 0.5000 0.0000 0.0000  2 W 2.43
2 Zn 0.0000 0.0000 0.5000  2 W 2.43
3 Na 0.0000 0.5000 0.0000  2 W 2.55
4 W 0.0000 0.0000 0.0000  4 Zn 2.43, 2 Na 2.55
5 Ti 0.5000 0.5000 0.5000  4 Na 3.43, 8 Zn 3.52

Here is a relaxed NaMg3In crystal from the Alexandria database. Energies are from PBE.

**Calculated formation energy**: 610 meV per atom
**Excess energy over the best structure of this formula in the dataset**: 57.81 kJ per mole of atoms
**Density of states at the Fermi level**: 3.1 states/eV per cell

Cell lengths 5.3921, 5.3921, 5.3921 Å; angles 90.00, 90.00, 90.00 degrees
With the nearest neighbours (Å) after each atom.
Fractional positions:
1 Mg 0.5000 0.0000 0.0000  2 Na 2.70
2 Mg 0.0000 0.0000 0.5000  2 Na 2.70
3 Mg 0.0000 0.5000 0.0000  2 Na 2.70
4 Na 0.0000 0.0000 0.0000  6 Mg 2.70
5 In 0.5000 0.5000 0.5000  12 Mg 3.81

Here is a relaxed Ac6BiSb5 crystal from the Alexandria database. Energies are from PBE.

**ΔE_f (raw)**: -1.18 eV/atom
**Density of states at the Fermi level**: 0.7 states/eV per cell

Cell lengths 8.3351, 8.3383, 8.3360 Å; angles 59.99, 80.41, 70.53 degrees
With the nearest neighbours (Å) after each atom.
Fractional positions:
1 Ac 0.2516 0.9161 0.6636  5 Sb 3.38-3.41, 1 Bi 3.43
2 Ac 0.2516 0.5798 0.3364  5 Sb 3.38-3.41, 1 Bi 3.43
3 Ac 0.7484 0.4202 0.6636  5 Sb 3.38-3.41, 1 Bi 3.43
4 Ac 0.7487 0.7473 0.0000  5 Sb 3.38-3.40, 1 Bi 3.43
5 Ac 0.7484 0.0839 0.3364  5 Sb 3.38-3.41, 1 Bi 3.43
6 Ac 0.2513 0.2527 0.0000  5 Sb 3.38-3.40, 1 Bi 3.43
7 Sb 0.5000 0.5000 0.0000  6 Ac 3.38-3.41
8 Sb 0.5000 0.1659 0.6683  6 Ac 3.38-3.41
9 Sb 0.0000 0.3332 0.3335  6 Ac 3.40
10 Sb 0.0000 0.6668 0.6665  6 Ac 3.40
11 Sb 0.5000 0.8341 0.3317  6 Ac 3.38-3.41
12 Bi 0.0000 0.0000 0.0000  6 Ac 3.43

Here is a relaxed BeZn crystal from the Alexandria database. Energies are from PBE.

**Calculated formation energy**: 152 meV per atom
**Density of states at the Fermi level**: 0.9 states/eV per cell

Cell lengths 3.8864, 4.6241, 5.0534 Å; angles 90.00, 90.00, 90.00 degrees
With the nearest neighbours (Å) after each atom.
Fractional positions:
1 Zn 0.2500 0.3817 0.1293  7 Be 2.41-2.56, 4 Zn 2.58-2.61
2 Zn 0.2500 0.8817 0.3707  7 Be 2.41-2.56, 4 Zn 2.58-2.61
3 Zn 0.7500 0.6183 0.8707  7 Be 2.41-2.56, 4 Zn 2.58-2.61
4 Zn 0.7500 0.1183 0.6293  7 Be 2.41-2.56, 4 Zn 2.58-2.61
5 Be 0.2500 0.9397 0.8753  4 Be 2.38-2.64, 7 Zn 2.41-2.56
6 Be 0.2500 0.4397 0.6247  4 Be 2.38-2.64, 7 Zn 2.41-2.56
7 Be 0.7500 0.0603 0.1247  4 Be 2.38-2.64, 7 Zn 2.41-2.56
8 Be 0.7500 0.5603 0.3753  4 Be 2.38-2.64, 7 Zn 2.41-2.56

Here is a relaxed Sr4HN2 crystal from the Alexandria database. Energies are from PBE.

**Excess energy over the best structure of this formula in the dataset**: 17.29 kJ per mole of atoms
**Density of states at the Fermi level**: 2.6 states/eV per cell

Cell lengths 3.8226, 6.9016, 13.2344 Å; angles 90.00, 90.00, 106.08 degrees
With the nearest neighbours (Å) after each atom.
Fractional positions:
1 Sr 0.2399 0.4798 0.6061  3 N 2.60-2.61, 2 H 2.70
2 Sr 0.5000 0.0000 0.5000  4 N 2.73
3 Sr 0.5000 0.0000 0.0000  4 N 2.73
4 Sr 0.2399 0.4798 0.8939  3 N 2.60-2.61, 2 H 2.70
5 Sr 0.7601 0.5202 0.1061  3 N 2.60-2.61, 2 H 2.70
6 Sr 0.0764 0.1527 0.2500  1 H 2.56, 2 N 2.64
7 Sr 0.9236 0.8473 0.7500  1 H 2.56, 2 N 2.64
8 Sr 0.7601 0.5202 0.3939  3 N 2.60-2.61, 2 H 2.70
9 N 0.8654 0.7308 0.5593  6 Sr 2.60-2.73
10 N 0.1346 0.2692 0.4407  6 Sr 2.60-2.73
11 N 0.8654 0.7308 0.9407  6 Sr 2.60-2.73
12 N 0.1346 0.2692 0.0593  6 Sr 2.60-2.73
13 H 0.2697 0.5394 0.2500  5 Sr 2.56-2.70
14 H 0.7303 0.4606 0.7500  5 Sr 2.56-2.70

Here is a relaxed NaHo2Au3 crystal from the Alexandria database. Energies are from PBE.

**Calculated formation energy**: -686 meV per atom
**Density of states at the Fermi level**: 3.8 states/eV per cell

Cell lengths 3.5648, 3.5648, 10.8800 Å; angles 90.00, 90.00, 90.00 degrees
With the nearest neighbours (Å) after each atom.
Fractional positions:
1 Na 0.5000 0.5000 0.5000  8 Au 3.22, 4 Na 3.56, 2 Ho 3.59
2 Au 0.0000 0.0000 0.6835  4 Ho 2.98, 4 Na 3.22
3 Au 0.0000 0.0000 0.0000  8 Ho 3.12, 2 Au 3.44
4 Au 0.0000 0.0000 0.3165  4 Ho 2.98, 4 Na 3.22
5 Ho 0.5000 0.5000 0.8303  8 Au 2.98-3.12
6 Ho 0.5000 0.5000 0.1697  8 Au 2.98-3.12

Here is a relaxed LiScIr3 crystal from the Alexandria database. Energies are from PBE.

**Calculated formation energy**: 1279 meV per atom
**Excess energy over the best structure of this formula in the dataset**: 109.94 kJ per mole of atoms
**Density of states at the Fermi level**: 7.0 states/eV per cell

Cell lengths 4.7321, 4.7321, 4.7321 Å; angles 90.00, 90.00, 90.00 degrees
With the nearest neighbours (Å) after each atom.
Fractional positions:
1 Sc 0.0000 0.0000 0.0000  6 Ir 2.37
2 Li 0.5000 0.5000 0.5000  12 Ir 3.35
3 Ir 0.0000 0.5000 0.0000  2 Sc 2.37
4 Ir 0.5000 0.0000 0.0000  2 Sc 2.37
5 Ir 0.0000 0.0000 0.5000  2 Sc 2.37

Here is a relaxed Pa2OsCl crystal from the Alexandria database. Energies are from PBE.

**ΔE_f (raw)**: -0.58 eV/atom
**Density of states at the Fermi level**: 5.7 states/eV per cell

Cell lengths 3.9733, 3.9733, 7.2949 Å; angles 74.20, 74.20, 60.00 degrees
With the nearest neighbours (Å) after each atom.
Fractional positions:
1 Os 0.0000 0.0000 0.0000  6 Pa 2.76
2 Pa 0.7407 0.7407 0.7780  3 Os 2.76, 3 Cl 2.99
3 Pa 0.2593 0.2593 0.2220  3 Os 2.76, 3 Cl 2.99
4 Cl 0.5000 0.5000 0.5000  6 Pa 2.99

Here is a relaxed KBa2Sr2 crystal from the Alexandria database. Energies are from PBE.

**Calculated formation energy**: 143 meV per atom
**Excess energy over the best structure of this formula in the dataset**: 10.07 kJ per mole of atoms
**Density of states at the Fermi level**: 11.2 states/eV per cell

Cell lengths 12.1340, 12.1340, 4.4943 Å; angles 90.00, 90.00, 90.00 degrees
With the nearest neighbours (Å) after each atom.
Fractional positions:
1 Sr 0.8286 0.3286 0.5000  6 Ba 4.20-4.25, 2 Sr 4.49
2 Sr 0.1714 0.6714 0.5000  6 Ba 4.20-4.25, 2 Sr 4.49
3 Sr 0.3286 0.1714 0.5000  6 Ba 4.20-4.25, 2 Sr 4.49
4 Sr 0.6714 0.8286 0.5000  6 Ba 4.20-4.25, 2 Sr 4.49
5 Ba 0.1215 0.3785 0.0000  3 Ba 4.17-4.49, 6 Sr 4.20-4.25
6 Ba 0.3785 0.8785 0.0000  3 Ba 4.17-4.49, 6 Sr 4.20-4.25
7 Ba 0.8785 0.6215 0.0000  3 Ba 4.17-4.49, 6 Sr 4.20-4.25
8 Ba 0.6215 0.1215 0.0000  3 Ba 4.17-4.49, 6 Sr 4.20-4.25
9 K 0.5000 0.5000 0.0000  2 K 4.49, 4 Ba 4.82, 8 Sr 5.03
10 K 0.0000 0.0000 0.0000  2 K 4.49, 4 Ba 4.82, 8 Sr 5.03

Here is a relaxed CeSbClO4 crystal from the Alexandria database. Energies are from PBE.

**ΔE_f (raw)**: -2.04 eV/atom

Cell lengths 6.1518, 6.1518, 8.2785 Å; angles 64.33, 64.33, 75.21 degrees
With the nearest neighbours (Å) after each atom.
Fractional positions:
1 O 0.5856 0.5856 0.5825  1 Sb 1.98
2 O 0.3989 0.3989 0.9496  2 Sb 1.99-2.06
3 O 0.5360 0.9787 0.7154  1 Sb 1.91
4 O 0.4144 0.4144 0.4175  1 Sb 1.98
5 O 0.4640 0.0213 0.2846  1 Sb 1.91
6 O 0.9787 0.5360 0.7154  1 Sb 1.91
7 O 0.6011 0.6011 0.0504  2 Sb 1.99-2.06
8 O 0.0213 0.4640 0.2846  1 Sb 1.91
9 Ce 0.7136 0.7136 0.2563  3 O 2.14-2.27
10 Ce 0.2864 0.2864 0.7437  3 O 2.14-2.27
11 Cl 0.9663 0.9663 0.8338  2 Ce 2.78-2.98, 1 O 2.98
12 Cl 0.0337 0.0337 0.1662  2 Ce 2.78-2.98, 1 O 2.98
13 Sb 0.6428 0.6428 0.7779  5 O 1.91-2.06
14 Sb 0.3572 0.3572 0.2221  5 O 1.91-2.06

Here is a relaxed K2PrHoO4 crystal from the Alexandria database. Energies are from PBE.

**ΔE_f (raw)**: -2.66 eV/atom
**Density of states at the Fermi level**: 0.0 states/eV per cell

Cell lengths 3.5730, 6.1886, 6.6187 Å; angles 108.11, 90.00, 90.00 degrees
With the nearest neighbours (Å) after each atom.
Fractional positions:
1 Ho 0.5000 0.5000 0.0000  6 O 2.31-2.35
2 O 0.0000 0.2818 0.8131  2 Ho 2.35, 1 Pr 2.43
3 O 0.0000 0.7182 0.1869  2 Ho 2.35, 1 Pr 2.43
4 O 0.5000 0.2427 0.1897  1 Ho 2.31, 2 Pr 2.42
5 O 0.5000 0.7573 0.8103  1 Ho 2.31, 2 Pr 2.42
6 K 0.5000 0.0000 0.5000  6 O 2.88-2.90
7 K 0.0000 0.5000 0.5000  6 O 2.80-2.81
8 Pr 0.0000 0.0000 0.0000  6 O 2.42-2.43

no.,calculated volume (Å³ per cell),E_tot (eV/atom)
1,132,-2.716
2,120,-3.286
3,157,-1.159
4,473,-5.279
5,91,-2.348
6,335,-4.233
7,138,-4.071
8,106,-5.687
9,95,-8.598
10,662,-1.518
11,254,-6.572
12,139,-6.588